A relaxed CdNi2Os crystal, computed with GGA-PBEsol.

Values from the calculation:
SG   C2/m (12)
Energy of formation from the pure elements   33.99 kJ per mole of atoms
Density of states at the Fermi level   4.2 states/eV per cell

abc: 2.638 4.382 5.019
angles: 97.29 90.00 107.52
Fractional coordinates of all 4 atoms:
Cd (0.500, 0.000, 0.000)
Ni (0.745, 0.489, 0.709)
Ni (0.255, 0.511, 0.291)
Os (0.000, 0.000, 0.500)